[1]
# AgGeRu

Crystalline AgGeRu at its relaxed geometry (GGA-PBE, Alexandria).

Lattice parameters (Å, degrees): 3.9801 3.9801 6.4327 90.00 90.00 90.00
Each line ends with the local moment (μB).
Element x y z (fractional)
Ge (0.0000, 0.5000, 0.2628)  0.00
Ru (0.5000, 0.5000, 0.5000)  0.22
Ge (0.5000, 0.0000, 0.7372)  0.00
Ag (0.5000, 0.0000, 0.1439)  0.00
Ag (0.0000, 0.5000, 0.8561)  0.00
Ru (0.0000, 0.0000, 0.5000)  0.22

The value obtained for the calculated volume is 102 Å³/cell. The energy is -5.526 eV per atom. For the formation enthalpy at 0 K, the calculation gives 55.7 meV per atom. The energy above the most stable polymorph in this dataset is 0.05 eV/f.u. Its space-group type is P4/nmm.

***

[2]
# Ag2GeRu

Crystalline Ag2GeRu at its relaxed geometry (GGA-PBE, Alexandria).

Lattice parameters (Å, degrees): 3.7319 3.7319 10.5138 79.78 79.78 90.00
Each line ends with the local moment (μB).
Element x y z (fractional)
Ge (0.5000, 0.5000, 0.0000)  0.00
Ag (0.1241, 0.6250, 0.2500)  0.00
Ge (0.2500, 0.7500, 0.5000)  0.00
Ru (0.7500, 0.2500, 0.5000)  0.51
Ru (0.0000, 0.0000, 0.0000)  0.51
Ag (0.6259, 0.1250, 0.2500)  0.00
Ag (0.8750, 0.8759, 0.7500)  0.00
Ag (0.3750, 0.3741, 0.7500)  0.00

The value obtained for the calculated volume is 142 Å³/cell. The energy is -4.446 eV per atom. For the formation enthalpy at 0 K, the calculation gives 452.6 meV per atom. Its space-group type is I-42d.

***

[3]
# Ag3GeRu

Crystalline Ag3GeRu at its relaxed geometry (GGA-PBE, Alexandria).

Lattice parameters (Å, degrees): 5.0350 5.0350 5.0350 90.00 90.00 90.00
Each line ends with the local moment (μB).
Element x y z (fractional)
Ru (0.0000, 0.0000, 0.0000)  1.72
Ag (0.5000, 0.0000, 0.0000)  0.03
Ag (0.0000, 0.5000, 0.0000)  0.07
Ge (0.5000, 0.5000, 0.5000)  -0.05
Ag (0.0000, 0.0000, 0.5000)  0.16

The value obtained for the calculated volume is 128 Å³/cell. The energy is -3.125 eV per atom. For the formation enthalpy at 0 K, the calculation gives 1364.3 meV per atom. The energy above the most stable polymorph in this dataset is 1.24 eV/f.u. Its space-group type is Pm-3m.

***

What is the formula in the third record? Ag3GeRu